# 1
Entry from Alexandria via LeMat-Bulk: a relaxed Nd2Ho2Tm5 crystal (PBE).

Cell lengths 3.467, 8.163, 12.430 Å; angles 120.46, 98.02, 90.00 degrees
Positions (direct):
Ho 0.546 0.738 0.093
Ho 0.454 0.262 0.907
Tm 0.691 0.852 0.381
Tm 0.904 0.539 0.808
Tm 0.096 0.461 0.192
Tm 0.309 0.148 0.619
Tm 0.000 0.000 0.000
Nd 0.182 0.220 0.363
Nd 0.818 0.780 0.637

Properties
E_tot in eV for the cell shown: -38.97
E above lowest polymorph in eV/f.u.: 0.13
Space group: C2/m
Calculated formation energy in eV per formula unit: 2.08


# 2
Entry from Alexandria via LeMat-Bulk: a relaxed Nd4HoTm crystal (PBE).

Cell lengths 3.633, 9.570, 12.005 Å; angles 148.75, 89.99, 100.95 degrees
Positions (direct):
Nd 0.668 0.337 0.003
Nd 0.332 0.663 0.997
Nd 0.833 0.667 0.499
Nd 0.167 0.333 0.502
Tm 0.500 0.000 0.500
Ho 0.000 0.000 0.000

Properties
E_tot in eV for the cell shown: -28.03
E above lowest polymorph in eV/f.u.: 0.00
Space group: C2/m
Calculated formation energy in eV per formula unit: 0.09


# 3
Entry from Alexandria via LeMat-Bulk: a relaxed NdHo2Tm crystal (PBE).

Cell lengths 3.557, 3.557, 11.751 Å; angles 81.29, 81.29, 60.00 degrees
Positions (direct):
Nd 0.500 0.500 0.500
Ho 0.748 0.748 0.755
Ho 0.252 0.252 0.245
Tm 0.000 0.000 0.000

Properties
E_tot in eV for the cell shown: -18.30
E above lowest polymorph in eV/f.u.: 0.04
Space group: R-3m
Calculated formation energy in eV per formula unit: 0.10